# PBE Y5Tm6, relaxed
data_Y5Tm6
_symmetry_space_group_name_H-M 'I m m m'
_symmetry_Int_Tables_number 71
_symmetry_space_group_name_Hall '-I 2 2'
_cell_length_a 5.469
_cell_length_b 8.065
_cell_length_c 15.767
_cell_angle_alpha 90.00
_cell_angle_beta 90.00
_cell_angle_gamma 90.00
loop_
_atom_site_label
_atom_site_type_symbol
_atom_site_fract_x
_atom_site_fract_y
_atom_site_fract_z
Y1 Y 0.000 0.000 0.000
Y2 Y 0.000 0.000 0.298
Y3 Y 0.000 0.500 0.339
Tm1 Tm 0.000 0.205 0.500
Tm2 Tm 0.000 0.295 0.137
# - Relative energy among the computed polymorphs: 0.0 meV/atom
# - DFT formation energy: 0.12 eV per atom